Material: BaRe2Br
Method: DFT, PBE-GGA
State: optimized geometry

## Properties
The value obtained for the total energy is -6.67 eV per atom. Its crystal system is tetragonal.

The structure in CIF format:
```
data_BaRe2Br
_cell_length_a 3.576
_cell_length_b 3.576
_cell_length_c 8.042
_cell_angle_alpha 90.00
_cell_angle_beta 90.00
_cell_angle_gamma 90.00
_symmetry_space_group_name_H-M 'P 4 m m'
_symmetry_Int_Tables_number 99
_symmetry_space_group_name_Hall 'P 4 -2'
loop_
_atom_site_label
_atom_site_fract_x
_atom_site_fract_y
_atom_site_fract_z
_atom_site_occupancy
Ba1 0.000 0.000 0.000 1
Re1 0.000 0.000 0.620 1
Re2 0.500 0.500 0.581 1
Br1 0.500 0.500 0.246 1
```

Material: MnTcRh2Cl
Method: DFT, PBE-GGA
State: optimized geometry

## Properties
The value obtained for the total energy is -6.07 eV per atom. Its crystal system is tetragonal.

The structure in CIF format:
```
data_MnTcRh2Cl
_cell_length_a 4.423
_cell_length_b 4.423
_cell_length_c 4.041
_cell_angle_alpha 90.00
_cell_angle_beta 90.00
_cell_angle_gamma 90.00
_symmetry_space_group_name_H-M 'P 4/m m m'
_symmetry_Int_Tables_number 123
_symmetry_space_group_name_Hall '-P 4 2'
loop_
_atom_site_label
_atom_site_fract_x
_atom_site_fract_y
_atom_site_fract_z
_atom_site_occupancy
Mn1 0.000 0.000 0.000 1
Tc1 0.500 0.500 0.000 1
Rh1 0.000 0.500 0.500 1
Cl1 0.000 0.000 0.500 1
```